[1]
A plane-wave DFT calculation with PBE was carried out for a geometry-optimized YZnInSe3 structure.

abc: 10.9502 4.0997 14.6124
angles: 90.00 90.00 90.00
Element x y z (fractional)
In  0.7785  0.7500  0.0025
In  0.2785  0.7500  0.4975
In  0.7215  0.2500  0.5025
In  0.2215  0.2500  0.9975
Se  0.5821  0.2500  0.1171
Se  0.9544  0.2500  0.1237
Se  0.2639  0.7500  0.1803
Se  0.7639  0.7500  0.3197
Se  0.4544  0.2500  0.3763
Se  0.0821  0.2500  0.3829
Se  0.9179  0.7500  0.6171
Se  0.5456  0.7500  0.6237
Se  0.2361  0.2500  0.6803
Se  0.7361  0.2500  0.8197
Se  0.0456  0.7500  0.8763
Se  0.4179  0.7500  0.8829
Y  0.5160  0.7500  0.2447
Y  0.0160  0.7500  0.2553
Y  0.9840  0.2500  0.7447
Y  0.4840  0.2500  0.7553
Zn  0.7644  0.2500  0.2153
Zn  0.2644  0.2500  0.2847
Zn  0.7356  0.7500  0.7153
Zn  0.2356  0.7500  0.7847

## Properties
energy above the lowest structure with this stoichiometry	0	meV per atom
spin magnetization	0.01	μB per cell

***

[2]
A plane-wave DFT calculation with PBE was carried out for a geometry-optimized CsHo2AgO4 structure.

abc: 3.4960 3.4960 13.6688
angles: 90.00 90.00 120.00
Element x y z (fractional)
Ag  0.0000  0.0000  0.5000
Cs  0.6667  0.3333  0.0000
Ho  0.3333  0.6667  0.2745
Ho  0.3333  0.6667  0.7255
O  0.6667  0.3333  0.1935
O  0.0000  0.0000  0.3490
O  0.0000  0.0000  0.6510
O  0.6667  0.3333  0.8065

## Properties
calculated total energy	-6.445	eV per atom
spin magnetization	0.00	μB per cell

***

[3]
A plane-wave DFT calculation with PBE was carried out for a geometry-optimized IrBrCl2 structure.

abc: 6.3504 6.4972 6.4972
angles: 120.68 90.00 90.00
Element x y z (fractional)
Br  0.0000  0.9962  0.7043
Br  0.0000  0.7043  0.9962
Cl  0.5000  0.2825  0.0076
Cl  0.0000  0.2755  0.2755
Cl  0.5000  0.0076  0.2825
Cl  0.5000  0.7277  0.7277
Ir  0.2528  0.0030  0.0030
Ir  0.7472  0.0030  0.0030

## Properties
energy above the lowest structure with this stoichiometry	47	meV per atom
spin magnetization	0.00	μB per cell

***

[4]
A plane-wave DFT calculation with PBE was carried out for a geometry-optimized ZrZn structure.

abc: 5.0789 9.8772 4.5345
angles: 90.00 90.00 90.00
Element x y z (fractional)
Zn  0.4959  0.1991  0.0000
Zn  0.9959  0.6342  0.0000
Zn  0.8373  0.1800  0.5000
Zn  0.3854  0.3370  0.5000
Zn  0.8854  0.4964  0.5000
Zn  0.3374  0.6533  0.5000
Zr  0.9224  0.0094  0.0000
Zr  0.0116  0.3251  0.0000
Zr  0.5115  0.5083  0.0000
Zr  0.4224  0.8239  0.0000
Zr  0.3473  0.0276  0.5000
Zr  0.8473  0.8058  0.5000

## Properties
formation energy from the elements	-2.4	kcal/mol of atoms
spin magnetization	0.27	μB per cell

***

[5]
A plane-wave DFT calculation with PBE was carried out for a geometry-optimized ScAsIrAu structure.

abc: 4.6365 4.6365 4.6365
angles: 60.00 60.00 60.00
Element x y z (fractional)
As  0.5000  0.5000  0.5000
Au  0.7500  0.7500  0.7500
Ir  0.0000  0.0000  0.0000
Sc  0.2500  0.2500  0.2500

## Properties
energy above the lowest structure with this stoichiometry	197	meV per atom
spin magnetization	0.01	μB per cell

***

[6]
A plane-wave DFT calculation with PBE was carried out for a geometry-optimized AcPrOs structure.

abc: 4.9853 4.9853 4.9853
angles: 60.00 60.00 60.00
Element x y z (fractional)
Ac  0.2500  0.2500  0.2500
Os  0.7500  0.7500  0.7500
Pr  0.0000  0.0000  0.0000

## Properties
energy above the lowest structure with this stoichiometry	0	meV per atom
formation energy from the elements	18.9	kcal/mol of atoms
spin magnetization	0.01	μB per cell

***

[7]
A plane-wave DFT calculation with PBE was carried out for a geometry-optimized PaTaMo structure.

abc: 4.5779 4.5779 4.5779
angles: 60.00 60.00 60.00
Element x y z (fractional)
Mo  0.0000  0.0000  0.0000
Pa  0.2500  0.2500  0.2500
Ta  0.7500  0.7500  0.7500

## Properties
energy above the lowest structure with this stoichiometry	0	meV per atom
formation energy from the elements	11.5	kcal/mol of atoms
spin magnetization	0.00	μB per cell

***

[8]
A plane-wave DFT calculation with PBE was carried out for a geometry-optimized BaDyPb2 structure.

abc: 4.6037 6.7595 6.7595
angles: 42.61 90.00 90.00
Element x y z (fractional)
Ba  0.0000  0.6392  0.6392
Dy  0.5000  0.3783  0.3783
Pb  0.5000  0.0774  0.0774
Pb  0.0000  0.9051  0.9051

## Properties
calculated total energy	-3.866	eV per atom
spin magnetization	0.02	μB per cell

***

[9]
A plane-wave DFT calculation with PBE was carried out for a geometry-optimized Tm3Sn3IrPt2 structure.

abc: 7.5018 7.5018 3.9107
angles: 90.00 90.00 120.00
Element x y z (fractional)
Ir  0.0000  0.0000  0.0000
Pt  0.6667  0.3333  0.5000
Pt  0.3333  0.6667  0.5000
Sn  0.7417  0.0000  0.5000
Sn  0.2583  0.2583  0.5000
Sn  0.0000  0.7417  0.5000
Tm  0.4028  0.0000  0.0000
Tm  0.0000  0.4028  0.0000
Tm  0.5972  0.5972  0.0000

## Properties
calculated total energy	-6.195	eV per atom
spin magnetization	0.00	μB per cell

***

[10]
A plane-wave DFT calculation with PBE was carried out for a geometry-optimized AuS5N5Cl4 structure.

abc: 5.3540 12.0251 10.2438
angles: 90.00 99.67 90.00
Element x y z (fractional)
Au  0.1553  0.2500  0.2958
Au  0.8447  0.7500  0.7042
Cl  0.9256  0.1136  0.1687
Cl  0.9256  0.3864  0.1687
Cl  0.3881  0.1131  0.4209
Cl  0.3881  0.3869  0.4209
Cl  0.6119  0.6131  0.5791
Cl  0.6119  0.8869  0.5791
Cl  0.0744  0.6136  0.8313
Cl  0.0744  0.8864  0.8313
N  0.5757  0.6345  0.0849
N  0.5757  0.8655  0.0849
N  0.2564  0.6379  0.2474
N  0.2564  0.8621  0.2474
N  0.9937  0.7500  0.3891
N  0.0063  0.2500  0.6109
N  0.7436  0.1379  0.7526
N  0.7436  0.3621  0.7526
N  0.4243  0.1345  0.9151
N  0.4243  0.3655  0.9151
S  0.6636  0.7500  0.0352
S  0.4155  0.5618  0.1691
S  0.4155  0.9382  0.1691
S  0.0735  0.6287  0.3516
S  0.0735  0.8713  0.3516
S  0.9265  0.1287  0.6484
S  0.9265  0.3713  0.6484
S  0.5845  0.0618  0.8309
S  0.5845  0.4382  0.8309
S  0.3364  0.2500  0.9648

## Properties
calculated total energy	-4.637	eV per atom

***

[11]
A plane-wave DFT calculation with PBE was carried out for a geometry-optimized Te2W structure.

abc: 6.9375 6.8228 7.0510
angles: 90.00 117.69 90.00
Element x y z (fractional)
Te  0.3568  0.3633  0.1201
Te  0.8427  0.1473  0.1746
Te  0.1573  0.6473  0.3254
Te  0.6432  0.8633  0.3799
Te  0.3568  0.1367  0.6201
Te  0.8427  0.3527  0.6746
Te  0.1573  0.8527  0.8254
Te  0.6432  0.6367  0.8799
W  0.2083  0.0075  0.1909
W  0.7917  0.5075  0.3091
W  0.2083  0.4925  0.6909
W  0.7917  0.9925  0.8091

## Properties
calculated total energy	-6.328	eV per atom
spin magnetization	0.01	μB per cell

***

[12]
A plane-wave DFT calculation with PBE was carried out for a geometry-optimized TbTm2In3Ni3 structure.

abc: 3.7384 7.4315 7.4315
angles: 119.97 90.00 90.00
Element x y z (fractional)
In  0.5000  0.9981  0.2564
In  0.5000  0.7451  0.7451
In  0.5000  0.2564  0.9981
Ni  0.5000  0.6681  0.3326
Ni  0.5000  0.3326  0.6681
Ni  0.0000  0.9989  0.9989
Tb  0.0000  0.4100  0.4100
Tm  0.0000  0.5907  0.0000
Tm  0.0000  0.0000  0.5907

## Properties
calculated total energy	-4.789	eV per atom
spin magnetization	0.00	μB per cell

***

[13]
A plane-wave DFT calculation with PBE was carried out for a geometry-optimized TbGdH2I4 structure.

abc: 4.0211 4.0211 16.6488
angles: 90.00 90.00 120.00
Element x y z (fractional)
Gd  0.0000  0.0000  0.0000
H  0.6667  0.3333  0.0000
H  0.3333  0.6667  0.5000
I  0.3333  0.6667  0.1276
I  0.6667  0.3333  0.3729
I  0.6667  0.3333  0.6271
I  0.3333  0.6667  0.8724
Tb  0.0000  0.0000  0.5000

## Properties
calculated total energy	-3.980	eV per atom
spin magnetization	0.00	μB per cell